# 1
Ho8Sc2Cd: optimized geometry, PBE.

Cell and atoms, written as CIF:
```
data_Ho8Sc2Cd
_symmetry_space_group_name_H-M 'C 1 2/m 1'
_symmetry_Int_Tables_number 12
_cell_length_a 17.428
_cell_length_b 4.895
_cell_length_c 7.705
_cell_angle_alpha 90.00
_cell_angle_beta 105.92
_cell_angle_gamma 90.00
loop_
_symmetry_equiv_pos_as_xyz
'x,y,z'
'-x,-y,-z'
'-x,y,-z'
'x,-y,z'
'x+1/2,y+1/2,z'
'-x+1/2,-y+1/2,-z'
'-x+1/2,y+1/2,-z'
'x+1/2,-y+1/2,z'
loop_
_atom_site_label
_atom_site_type_symbol
_atom_site_fract_x
_atom_site_fract_y
_atom_site_fract_z
Ho1 Ho 0.047 0.000 0.223
Ho2 Ho 0.094 0.500 0.949
Ho3 Ho 0.138 0.000 0.686
Ho4 Ho 0.182 0.500 0.415
Sc1 Sc 0.225 0.000 0.134
Cd1 Cd 0.000 0.500 0.500
```

Output
formation energy from the elements = -0.0035 eV per atom
DOS at the Fermi energy = 1.4667 states/eV/atom

# 2
Ti2BeGa2: optimized geometry, PBE.

Cell and atoms, written as CIF:
```
data_Ti2BeGa2
_symmetry_space_group_name_H-M 'I b a m'
_symmetry_Int_Tables_number 72
_symmetry_space_group_name_Hall '-I 2 2c'
_cell_length_a 5.133
_cell_length_b 11.236
_cell_length_c 5.130
_cell_angle_alpha 90.00
_cell_angle_beta 90.00
_cell_angle_gamma 90.00
loop_
_atom_site_label
_atom_site_type_symbol
_atom_site_fract_x
_atom_site_fract_y
_atom_site_fract_z
Ti1 Ti 0.190 0.177 0.000
Be1 Be 0.000 0.000 0.250
Ga1 Ga 0.180 0.414 0.000
```

Output
offset from the most stable computed form = 114 meV per atom
formation energy from the elements = -0.2527 eV per atom
DOS at the Fermi energy = 0.4495 states/eV/atom

# 3
MnB2Pt: optimized geometry, PBE.

Cell and atoms, written as CIF:
```
data_MnB2Pt
_symmetry_space_group_name_H-M 'I -4 2 d'
_symmetry_Int_Tables_number 122
_symmetry_space_group_name_Hall 'I -4 2bw'
_cell_length_a 4.535
_cell_length_b 4.535
_cell_length_c 10.067
_cell_angle_alpha 90.00
_cell_angle_beta 90.00
_cell_angle_gamma 90.00
loop_
_atom_site_label
_atom_site_type_symbol
_atom_site_fract_x
_atom_site_fract_y
_atom_site_fract_z
Mn1 Mn 0.000 0.000 0.000
B1 B 0.248 0.250 0.125
Pt1 Pt 0.000 0.000 0.500
```

Output
offset from the most stable computed form = 215 meV per atom
formation energy from the elements = 0.4248 eV per atom
DOS at the Fermi energy = 0.5238 states/eV/atom

# 4
Pr2Ga6CoRu: optimized geometry, PBE.

Cell and atoms, written as CIF:
```
data_Pr2Ga6CoRu
_symmetry_space_group_name_H-M 'F m -3 m'
_symmetry_Int_Tables_number 225
_symmetry_space_group_name_Hall '-F 4 2 3'
_cell_length_a 9.331
_cell_length_b 9.331
_cell_length_c 9.331
_cell_angle_alpha 90.00
_cell_angle_beta 90.00
_cell_angle_gamma 90.00
loop_
_atom_site_label
_atom_site_type_symbol
_atom_site_fract_x
_atom_site_fract_y
_atom_site_fract_z
Pr1 Pr 0.250 0.250 0.250
Ga1 Ga 0.000 0.000 0.243
Co1 Co 0.000 0.000 0.000
Ru1 Ru 0.000 0.000 0.500
```

Output
formation energy from the elements = -0.4278 eV per atom
DOS at the Fermi energy = 0.6491 states/eV/atom

# 5
Ca2PuOsN5: optimized geometry, PBE.

Cell and atoms, written as CIF:
```
data_Ca2PuOsN5
_symmetry_space_group_name_H-M 'C m c 21'
_symmetry_Int_Tables_number 36
_cell_length_a 3.430
_cell_length_b 13.497
_cell_length_c 10.665
_cell_angle_alpha 90.00
_cell_angle_beta 90.00
_cell_angle_gamma 90.00
loop_
_symmetry_equiv_pos_as_xyz
'x,y,z'
'-x,-y,z+1/2'
'-x,y,z'
'x,-y,z+1/2'
'x+1/2,y+1/2,z'
'-x+1/2,-y+1/2,z+1/2'
'-x+1/2,y+1/2,z'
'x+1/2,-y+1/2,z+1/2'
loop_
_atom_site_label
_atom_site_type_symbol
_atom_site_fract_x
_atom_site_fract_y
_atom_site_fract_z
Ca1 Ca 0.000 0.106 0.000
Ca2 Ca 0.000 0.147 0.627
Pu1 Pu 0.000 0.209 0.338
Os1 Os 0.000 0.485 0.770
N1 N 0.000 0.038 0.350
N2 N 0.000 0.283 0.966
N3 N 0.000 0.318 0.717
N4 N 0.000 0.370 0.316
N5 N 0.000 0.493 0.102
```

Output
formation energy from raw total energies = -5.2 eV/f.u.
DOS at the Fermi energy = 0.6748 states/eV/atom

# 6
Tl2InRu2: optimized geometry, PBE.

Cell and atoms, written as CIF:
```
data_Tl2InRu2
_symmetry_space_group_name_H-M 'P 4/m b m'
_symmetry_Int_Tables_number 127
_symmetry_space_group_name_Hall '-P 4 2ab'
_cell_length_a 6.942
_cell_length_b 6.942
_cell_length_c 4.145
_cell_angle_alpha 90.00
_cell_angle_beta 90.00
_cell_angle_gamma 90.00
loop_
_atom_site_label
_atom_site_type_symbol
_atom_site_fract_x
_atom_site_fract_y
_atom_site_fract_z
Tl1 Tl 0.164 0.336 0.000
In1 In 0.000 0.000 0.500
Ru1 Ru 0.137 0.637 0.500
```

Output
formation energy from the elements = 0.3360 eV per atom
DOS at the Fermi energy = 0.4963 states/eV/atom

# 7
YMg2MnPt: optimized geometry, PBE.

Cell and atoms, written as CIF:
```
data_YMg2MnPt
_symmetry_space_group_name_H-M 'P 4/m m m'
_symmetry_Int_Tables_number 123
_symmetry_space_group_name_Hall '-P 4 2'
_cell_length_a 4.845
_cell_length_b 4.845
_cell_length_c 4.907
_cell_angle_alpha 90.00
_cell_angle_beta 90.00
_cell_angle_gamma 90.00
loop_
_atom_site_label
_atom_site_type_symbol
_atom_site_fract_x
_atom_site_fract_y
_atom_site_fract_z
Y1 Y 0.000 0.000 0.000
Mg1 Mg 0.000 0.500 0.500
Mn1 Mn 0.000 0.000 0.500
Pt1 Pt 0.500 0.500 0.000
```

Output
formation energy from the elements = 0.5108 eV per atom
DOS at the Fermi energy = 1.0078 states/eV/atom

# 8
Pm4GeIr4: optimized geometry, PBE.

Cell and atoms, written as CIF:
```
data_Pm4GeIr4
_symmetry_space_group_name_H-M 'P 42/n'
_symmetry_Int_Tables_number 86
_cell_length_a 8.592
_cell_length_b 8.592
_cell_length_c 5.739
_cell_angle_alpha 90.00
_cell_angle_beta 90.00
_cell_angle_gamma 90.00
loop_
_symmetry_equiv_pos_as_xyz
'x,y,z'
'-x,-y,-z'
'-y,x+1/2,z+1/2'
'y,-x+1/2,-z+1/2'
'-x+1/2,-y+1/2,z'
'x+1/2,y+1/2,-z'
'y+1/2,-x,z+1/2'
'-y+1/2,x,-z+1/2'
loop_
_atom_site_label
_atom_site_type_symbol
_atom_site_fract_x
_atom_site_fract_y
_atom_site_fract_z
Pm1 Pm 0.044 0.684 0.105
Ge1 Ge 0.250 0.250 0.250
Ir1 Ir 0.013 0.362 0.402
```

Output
formation energy from the elements = -0.6175 eV per atom
DOS at the Fermi energy = 0.5386 states/eV/atom

Question: Look up the DOS at the Fermi energy of the third one.
Answer: 0.5238 states/eV/atom